No. 1
Density functional theory data (PBE) for a relaxed NiCBr3 crystal.

## Properties
- Magnetization: 0.89 μB/cell
- SG: Pm-3m, No. 221
- Formation energy (no corrections): 1.386 eV per atom

Cell: 4.874 4.874 4.874 Å, 90.00 90.00 90.00°
Positions (direct):
Ni  0.000  0.000  0.000
C  0.500  0.500  0.500
Br  0.000  0.000  0.500
Br  0.000  0.500  0.000
Br  0.500  0.000  0.000

=====

No. 2
Density functional theory data (PBE) for a relaxed NiCBr2 crystal.

## Properties
- Excess energy over the best structure of this formula in the dataset: 0.124 eV/atom
- Magnetization: 0.15 μB/cell
- SG: R-3m, No. 166
- Formation energy (no corrections): 1.544 eV per atom

Cell: 7.590 7.590 7.590 Å, 27.23 27.23 27.23°
Positions (direct):
Ni  0.000  0.000  0.000
C  0.500  0.500  0.500
Br  0.101  0.101  0.101
Br  0.899  0.899  0.899

=====

No. 3
Density functional theory data (PBE) for a relaxed NiCBr2 crystal.

## Properties
- Excess energy over the best structure of this formula in the dataset: 0.000 eV/atom
- Magnetization: 0.00 μB/cell
- SG: I-42d, No. 122
- Formation energy (no corrections): 1.421 eV per atom

Cell: 6.760 6.760 6.760 Å, 132.25 132.25 69.84°
Positions (direct):
Ni  0.000  0.000  0.000
Ni  0.750  0.250  0.500
C  0.250  0.750  0.500
C  0.500  0.500  0.000
Br  0.119  0.625  0.994
Br  0.375  0.369  0.494
Br  0.631  0.125  0.006
Br  0.875  0.881  0.506

=====

Number 1: total DFT energy (no corrections) -2.619 eV/atom, N(E_F) 5.331 states/eV/f.u.. Number 2: total DFT energy (no corrections) -3.043 eV/atom, N(E_F) 3.680 states/eV/f.u.. Number 3: total DFT energy (no corrections) -3.167 eV/atom, N(E_F) 0.677 states/eV/f.u..